## MnBeIr2 (PBE)

Data for a relaxed structure of MnBeIr2. Values from VASP.

Fermi-level density of states	0.9754	states/eV per atom
total DFT energy (no corrections)	-29.83	eV per formula unit
space group	No. 71

Geometry as Quantum ESPRESSO input:
```
&SYSTEM
  ibrav = 0, nat = 4, ntyp = 3
/
ATOMIC_SPECIES
Mn 54.94 Mn.upf
Be 9.01 Be.upf
Ir 192.22 Ir.upf
ATOMIC_POSITIONS crystal
Mn 0.000 0.000 0.000
Be 0.500 0.500 0.000
Ir 0.296 0.296 0.000
Ir 0.704 0.704 0.000
CELL_PARAMETERS angstrom
-1.359 2.036 5.063
1.359 -2.036 5.063
1.359 2.036 -5.063
```

---

## Li2Ce2Cd15 (PBE)

Data for a relaxed structure of Li2Ce2Cd15. Values from VASP.

Fermi-level density of states	1.1234	states/eV per atom
total DFT energy (no corrections)	-32.17	eV per formula unit
space group	No. 166

Geometry as Quantum ESPRESSO input:
```
&SYSTEM
  ibrav = 0, nat = 19, ntyp = 3
/
ATOMIC_SPECIES
Li 6.94 Li.upf
Ce 140.12 Ce.upf
Cd 112.41 Cd.upf
ATOMIC_POSITIONS crystal
Li 0.100 0.100 0.100
Li 0.900 0.900 0.900
Ce 0.338 0.338 0.338
Ce 0.662 0.662 0.662
Cd 0.000 0.000 0.500
Cd 0.000 0.296 0.704
Cd 0.000 0.500 0.000
Cd 0.000 0.704 0.296
Cd 0.156 0.644 0.644
Cd 0.296 0.000 0.704
Cd 0.296 0.704 0.000
Cd 0.356 0.356 0.844
Cd 0.356 0.844 0.356
Cd 0.500 0.000 0.000
Cd 0.644 0.156 0.644
Cd 0.644 0.644 0.156
Cd 0.704 0.000 0.296
Cd 0.704 0.296 0.000
Cd 0.844 0.356 0.356
CELL_PARAMETERS angstrom
5.025 2.901 4.982
-5.025 2.901 4.982
0.000 -5.803 4.982
```

---

## Fe2HgCl (PBE)

Data for a relaxed structure of Fe2HgCl. Values from VASP.

formation energy from raw total energies	367	meV per atom
Fermi-level density of states	0.7915	states/eV per atom
total DFT energy (no corrections)	-17.60	eV per formula unit
space group	No. 166
energy above the most stable polymorph in this dataset	231	meV per atom

Geometry as Quantum ESPRESSO input:
```
&SYSTEM
  ibrav = 0, nat = 4, ntyp = 3
/
ATOMIC_SPECIES
Fe 55.84 Fe.upf
Hg 200.59 Hg.upf
Cl 35.45 Cl.upf
ATOMIC_POSITIONS crystal
Fe 0.243 0.243 0.243
Fe 0.757 0.757 0.757
Hg 0.000 0.000 0.000
Cl 0.500 0.500 0.500
CELL_PARAMETERS angstrom
1.513 0.873 8.213
-1.513 0.873 8.213
0.000 -1.747 8.213
```

---

## CsCeNiSe4 (PBE)

Data for a relaxed structure of CsCeNiSe4. Values from VASP.

formation energy from raw total energies	-1037	meV per atom
Fermi-level density of states	0.9740	states/eV per atom
total DFT energy (no corrections)	-33.77	eV per formula unit
space group	No. 11

Geometry as Quantum ESPRESSO input:
```
&SYSTEM
  ibrav = 0, nat = 14, ntyp = 4
/
ATOMIC_SPECIES
Cs 132.91 Cs.upf
Ce 140.12 Ce.upf
Ni 58.69 Ni.upf
Se 78.96 Se.upf
ATOMIC_POSITIONS crystal
Cs 0.241 0.250 0.045
Cs 0.759 0.750 0.955
Ce 0.263 0.250 0.548
Ce 0.737 0.750 0.452
Ni 0.248 0.750 0.339
Ni 0.752 0.250 0.661
Se 0.008 0.506 0.695
Se 0.008 0.994 0.695
Se 0.402 0.750 0.572
Se 0.461 0.750 0.198
Se 0.539 0.250 0.802
Se 0.598 0.250 0.428
Se 0.992 0.006 0.305
Se 0.992 0.494 0.305
CELL_PARAMETERS angstrom
7.135 0.000 0.000
0.000 5.903 0.000
-2.501 0.000 9.750
```